# Pm2Pa2Rh3 PBE relaxed
data_Pm2Pa2Rh3
_cell_length_a 13.862
_cell_length_b 4.055
_cell_length_c 5.966
_cell_angle_alpha 90.00
_cell_angle_beta 90.14
_cell_angle_gamma 90.00
_space_group_name_H-M_alt 'C 1 2/m 1'
_space_group_IT_number 12
_space_group_name_Hall '-C 2y'
loop_
_atom_site_label
_atom_site_fract_x
_atom_site_fract_y
_atom_site_fract_z
Pm1 0.144 0.000 0.384
Pa1 0.094 0.500 0.901
Rh1 0.000 0.500 0.500
Rh2 0.219 0.000 0.849
# Energy relative to the elements: -0.571 eV per atom
# Fermi-level density of states: 1.020 states/eV per atom

***

# CuSi2Hg PBE relaxed
data_CuSi2Hg
_cell_length_a 11.331
_cell_length_b 2.740
_cell_length_c 4.715
_cell_angle_alpha 90.00
_cell_angle_beta 111.56
_cell_angle_gamma 90.00
_space_group_name_H-M_alt 'C 1 2/m 1'
_space_group_IT_number 12
_space_group_name_Hall '-C 2y'
loop_
_atom_site_label
_atom_site_fract_x
_atom_site_fract_y
_atom_site_fract_z
Cu1 0.000 0.000 0.000
Si1 0.212 0.500 0.192
Hg1 0.000 0.500 0.500
# Fermi-level density of states: 0.235 states/eV per atom
# Uncorrected formation energy: 0.38 eV/atom

***

# Y2Zr PBE relaxed
data_Y2Zr
_cell_length_a 3.433
_cell_length_b 3.433
_cell_length_c 14.659
_cell_angle_alpha 90.00
_cell_angle_beta 90.00
_cell_angle_gamma 90.00
_space_group_name_H-M_alt 'I 4/m m m'
_space_group_IT_number 139
_space_group_name_Hall '-I 4 2'
loop_
_atom_site_label
_atom_site_fract_x
_atom_site_fract_y
_atom_site_fract_z
Y1 0.000 0.000 0.155
Zr1 0.000 0.000 0.500
# Energy relative to the elements: 0.085 eV per atom
# Fermi-level density of states: 1.556 states/eV per atom

***

# Na2LiNiH6 PBE relaxed
data_Na2LiNiH6
_cell_length_a 4.9833
_cell_length_b 4.9833
_cell_length_c 4.7853
_cell_angle_alpha 90.00
_cell_angle_beta 90.00
_cell_angle_gamma 120.00
_space_group_name_H-M_alt 'P -3 m 1'
_space_group_IT_number 164
_space_group_name_Hall '-P 3 2"'
loop_
_atom_site_label
_atom_site_fract_x
_atom_site_fract_y
_atom_site_fract_z
Na1 0.3333 0.6667 0.1872
Li1 0.0000 0.0000 0.5000
Ni1 0.0000 0.0000 0.0000
H1 0.1472 0.2943 0.8047
# Fermi-level density of states: 0.188 states/eV per atom
# Total energy: -3.25 eV per atom

***

# Li2MoOs PBE relaxed
data_Li2MoOs
_cell_length_a 3.567
_cell_length_b 3.567
_cell_length_c 19.683
_cell_angle_alpha 90.00
_cell_angle_beta 90.00
_cell_angle_gamma 90.00
_space_group_name_H-M_alt 'I -4 2 d'
_space_group_IT_number 122
_space_group_name_Hall 'I -4 2bw'
loop_
_atom_site_label
_atom_site_fract_x
_atom_site_fract_y
_atom_site_fract_z
Li1 0.238 0.250 0.125
Mo1 0.000 0.000 0.500
Os1 0.000 0.000 0.000
# Energy relative to the elements: 0.493 eV per atom
# Fermi-level density of states: 0.580 states/eV per atom

***

# YTe2Pt PBE relaxed
data_YTe2Pt
_cell_length_a 4.451
_cell_length_b 4.451
_cell_length_c 9.760
_cell_angle_alpha 90.00
_cell_angle_beta 90.00
_cell_angle_gamma 90.00
_space_group_name_H-M_alt 'I 4/m m m'
_space_group_IT_number 139
_space_group_name_Hall '-I 4 2'
loop_
_atom_site_label
_atom_site_fract_x
_atom_site_fract_y
_atom_site_fract_z
Y1 0.000 0.000 0.000
Te1 0.000 0.500 0.250
Pt1 0.000 0.000 0.500
# Fermi-level density of states: 0.667 states/eV per atom
# Uncorrected formation energy: -0.42 eV/atom

***

# Ba2MgCu2 PBE relaxed
data_Ba2MgCu2
_cell_length_a 3.736
_cell_length_b 3.736
_cell_length_c 21.588
_cell_angle_alpha 90.00
_cell_angle_beta 90.00
_cell_angle_gamma 90.00
_space_group_name_H-M_alt 'I 4/m m m'
_space_group_IT_number 139
_space_group_name_Hall '-I 4 2'
loop_
_atom_site_label
_atom_site_fract_x
_atom_site_fract_y
_atom_site_fract_z
Ba1 0.000 0.000 0.125
Mg1 0.000 0.000 0.500
Cu1 0.000 0.500 0.250
# Energy relative to the elements: 0.174 eV per atom
# Fermi-level density of states: 0.887 states/eV per atom

***

# TaNiRu PBE relaxed
data_TaNiRu
_cell_length_a 4.640
_cell_length_b 4.655
_cell_length_c 5.101
_cell_angle_alpha 104.92
_cell_angle_beta 102.56
_cell_angle_gamma 117.64
_space_group_name_H-M_alt 'P 1'
_space_group_IT_number 1
_space_group_name_Hall 'P 1'
loop_
_atom_site_label
_atom_site_fract_x
_atom_site_fract_y
_atom_site_fract_z
Ta1 0.000 0.000 0.000
Ta2 0.251 0.755 0.508
Ni1 0.314 0.639 0.971
Ni2 0.578 0.422 0.539
Ru1 0.675 0.336 0.038
Ru2 0.887 0.054 0.478
# Energy relative to the elements: -0.231 eV per atom
# Fermi-level density of states: 1.233 states/eV per atom

***

# Mn2CrAg PBE relaxed
data_Mn2CrAg
_cell_length_a 3.957
_cell_length_b 3.957
_cell_length_c 7.430
_cell_angle_alpha 90.00
_cell_angle_beta 90.00
_cell_angle_gamma 90.00
_space_group_name_H-M_alt 'I 4/m m m'
_space_group_IT_number 139
_space_group_name_Hall '-I 4 2'
loop_
_atom_site_label
_atom_site_fract_x
_atom_site_fract_y
_atom_site_fract_z
Mn1 0.000 0.500 0.250
Cr1 0.000 0.000 0.000
Ag1 0.000 0.000 0.500
# Energy relative to the elements: 0.309 eV per atom
# Fermi-level density of states: 0.679 states/eV per atom

***

# CsPu2AgI8 PBE relaxed
data_CsPu2AgI8
_cell_length_a 8.029
_cell_length_b 9.228
_cell_length_c 9.332
_cell_angle_alpha 78.74
_cell_angle_beta 70.99
_cell_angle_gamma 88.87
_space_group_name_H-M_alt 'P -1'
_space_group_IT_number 2
_space_group_name_Hall '-P 1'
loop_
_atom_site_label
_atom_site_fract_x
_atom_site_fract_y
_atom_site_fract_z
Cs1 0.000 0.000 0.000
Pu1 0.025 0.259 0.477
Ag1 0.000 0.500 0.000
I1 0.195 0.700 0.757
I2 0.213 0.564 0.287
I3 0.227 0.010 0.308
I4 0.293 0.238 0.639
# Fermi-level density of states: 2.189 states/eV per atom
# Uncorrected formation energy: -0.97 eV/atom

***

# AcInHgPd3 PBE relaxed
data_AcInHgPd3
_cell_length_a 6.071
_cell_length_b 12.770
_cell_length_c 7.334
_cell_angle_alpha 90.00
_cell_angle_beta 90.00
_cell_angle_gamma 90.00
_space_group_name_H-M_alt 'C m c m'
_space_group_IT_number 63
_space_group_name_Hall '-C 2c 2'
loop_
_atom_site_label
_atom_site_fract_x
_atom_site_fract_y
_atom_site_fract_z
Ac1 0.000 0.163 0.250
In1 0.000 0.134 0.750
Hg1 0.000 0.412 0.250
Pd1 0.000 0.350 0.750
Pd2 0.229 0.000 0.000
# Energy relative to the elements: -0.427 eV per atom
# Fermi-level density of states: 0.408 states/eV per atom

***

# TlZnOs2 PBE relaxed
data_TlZnOs2
_cell_length_a 2.8087
_cell_length_b 2.8087
_cell_length_c 29.8925
_cell_angle_alpha 90.00
_cell_angle_beta 90.00
_cell_angle_gamma 120.00
_space_group_name_H-M_alt 'R -3 m'
_space_group_IT_number 166
_space_group_name_Hall '-R 3 2"'
loop_
_atom_site_label
_atom_site_fract_x
_atom_site_fract_y
_atom_site_fract_z
Tl1 0.0000 0.0000 0.0000
Zn1 0.0000 0.0000 0.5000
Os1 0.0000 0.0000 0.2382
# Energy relative to the elements: 0.803 eV per atom
# Fermi-level density of states: 0.921 states/eV per atom

***

Look up the Fermi-level density of states of the eleventh one.
0.408 states/eV per atom